# 1
DFT (GGA-PBE) results for crystalline Th2MgReN5 at its relaxed geometry.

```
data_Th2MgReN5
_symmetry_space_group_name_H-M 'P 1'
_symmetry_Int_Tables_number 1
_cell_length_a 6.882
_cell_length_b 6.882
_cell_length_c 5.808
_cell_angle_alpha 90.00
_cell_angle_beta 90.00
_cell_angle_gamma 90.00
loop_
_symmetry_equiv_pos_as_xyz
'x,y,z'
loop_
_atom_site_label
_atom_site_type_symbol
_atom_site_fract_x
_atom_site_fract_y
_atom_site_fract_z
Th1 Th 0.174 0.326 0.000
Th2 Th 0.326 0.826 0.000
Th3 Th 0.674 0.174 0.000
Th4 Th 0.826 0.674 0.000
Mg1 Mg 0.000 0.000 0.500
Mg2 Mg 0.500 0.500 0.500
Re1 Re 0.000 0.500 0.500
Re2 Re 0.500 0.000 0.500
N1 N 0.000 0.000 0.000
N2 N 0.138 0.638 0.264
N3 N 0.138 0.638 0.736
N4 N 0.362 0.138 0.264
N5 N 0.362 0.138 0.736
N6 N 0.500 0.500 0.000
N7 N 0.638 0.862 0.264
N8 N 0.638 0.862 0.736
N9 N 0.862 0.362 0.264
N10 N 0.862 0.362 0.736
```

Calculated values
E_tot	-153.33	eV/cell
total magnetic moment	0.00	Bohr magnetons per cell
ΔE_f (raw)	-66.00	kJ/mol of atoms
SG	P4/mbm, No. 127

# 2
DFT (GGA-PBE) results for crystalline MgZrRe2N at its relaxed geometry.

```
data_MgZrRe2N
_symmetry_space_group_name_H-M 'P 1'
_symmetry_Int_Tables_number 1
_cell_length_a 5.048
_cell_length_b 5.048
_cell_length_c 4.088
_cell_angle_alpha 90.00
_cell_angle_beta 90.00
_cell_angle_gamma 90.00
loop_
_symmetry_equiv_pos_as_xyz
'x,y,z'
loop_
_atom_site_label
_atom_site_type_symbol
_atom_site_fract_x
_atom_site_fract_y
_atom_site_fract_z
Mg1 Mg 0.000 0.000 0.000
Zr1 Zr 0.500 0.500 0.500
Re1 Re 0.000 0.500 0.500
Re2 Re 0.500 0.000 0.500
N1 N 0.500 0.500 0.000
```

Calculated values
E_tot	-33.46	eV/cell
total magnetic moment	1.31	Bohr magnetons per cell
ΔE_f (raw)	191.04	kJ/mol of atoms
SG	P4/mmm, No. 123

# 3
DFT (GGA-PBE) results for crystalline MgRhN2 at its relaxed geometry.

```
data_MgRhN2
_symmetry_space_group_name_H-M 'P 1'
_symmetry_Int_Tables_number 1
_cell_length_a 5.857
_cell_length_b 6.602
_cell_length_c 5.341
_cell_angle_alpha 90.00
_cell_angle_beta 90.00
_cell_angle_gamma 90.00
loop_
_symmetry_equiv_pos_as_xyz
'x,y,z'
loop_
_atom_site_label
_atom_site_type_symbol
_atom_site_fract_x
_atom_site_fract_y
_atom_site_fract_z
Mg1 Mg 0.093 0.126 0.000
Mg2 Mg 0.407 0.626 0.500
Mg3 Mg 0.593 0.374 0.000
Mg4 Mg 0.907 0.874 0.500
Rh1 Rh 0.080 0.639 0.011
Rh2 Rh 0.420 0.139 0.511
Rh3 Rh 0.580 0.861 0.011
Rh4 Rh 0.920 0.361 0.511
N1 N 0.072 0.610 0.373
N2 N 0.101 0.130 0.398
N3 N 0.399 0.630 0.898
N4 N 0.428 0.110 0.873
N5 N 0.572 0.890 0.373
N6 N 0.601 0.370 0.398
N7 N 0.899 0.870 0.898
N8 N 0.928 0.390 0.873
```

Calculated values
E_tot	-100.78	eV/cell
total magnetic moment	0.00	Bohr magnetons per cell
ΔE_f (raw)	9.71	kJ/mol of atoms
SG	Pna2_1, No. 33

# 4
DFT (GGA-PBE) results for crystalline MgRhN2 at its relaxed geometry.

```
data_MgRhN2
_symmetry_space_group_name_H-M 'P 1'
_symmetry_Int_Tables_number 1
_cell_length_a 4.766
_cell_length_b 4.766
_cell_length_c 9.017
_cell_angle_alpha 90.00
_cell_angle_beta 90.00
_cell_angle_gamma 90.00
loop_
_symmetry_equiv_pos_as_xyz
'x,y,z'
loop_
_atom_site_label
_atom_site_type_symbol
_atom_site_fract_x
_atom_site_fract_y
_atom_site_fract_z
Mg1 Mg 0.000 0.000 0.000
Mg2 Mg 0.000 0.500 0.250
Mg3 Mg 0.500 0.000 0.750
Mg4 Mg 0.500 0.500 0.500
Rh1 Rh 0.000 0.000 0.500
Rh2 Rh 0.000 0.500 0.750
Rh3 Rh 0.500 0.000 0.250
Rh4 Rh 0.500 0.500 0.000
N1 N 0.227 0.250 0.625
N2 N 0.250 0.727 0.875
N3 N 0.250 0.773 0.375
N4 N 0.273 0.250 0.125
N5 N 0.727 0.750 0.125
N6 N 0.750 0.227 0.375
N7 N 0.750 0.273 0.875
N8 N 0.773 0.750 0.625
```

Calculated values
E_tot	-100.40	eV/cell
total magnetic moment	0.00	Bohr magnetons per cell
ΔE_f (raw)	12.00	kJ/mol of atoms
SG	I-42d, No. 122

# 5
DFT (GGA-PBE) results for crystalline MgRhN2 at its relaxed geometry.

```
data_MgRhN2
_symmetry_space_group_name_H-M 'P 1'
_symmetry_Int_Tables_number 1
_cell_length_a 3.146
_cell_length_b 3.146
_cell_length_c 18.130
_cell_angle_alpha 90.00
_cell_angle_beta 90.00
_cell_angle_gamma 120.00
loop_
_symmetry_equiv_pos_as_xyz
'x,y,z'
loop_
_atom_site_label
_atom_site_type_symbol
_atom_site_fract_x
_atom_site_fract_y
_atom_site_fract_z
Mg1 Mg 0.000 0.000 0.000
Mg2 Mg 0.333 0.667 0.667
Mg3 Mg 0.667 0.333 0.333
Rh1 Rh 0.000 0.000 0.500
Rh2 Rh 0.333 0.667 0.167
Rh3 Rh 0.667 0.333 0.833
N1 N 0.000 0.000 0.111
N2 N 0.000 0.000 0.889
N3 N 0.333 0.667 0.556
N4 N 0.333 0.667 0.777
N5 N 0.667 0.333 0.223
N6 N 0.667 0.333 0.444
```

Calculated values
E_tot	-70.19	eV/cell
total magnetic moment	0.00	Bohr magnetons per cell
ΔE_f (raw)	53.09	kJ/mol of atoms
SG	R-3m, No. 166

# 6
DFT (GGA-PBE) results for crystalline MgRhN2 at its relaxed geometry.

```
data_MgRhN2
_symmetry_space_group_name_H-M 'P 1'
_symmetry_Int_Tables_number 1
_cell_length_a 3.218
_cell_length_b 3.218
_cell_length_c 17.624
_cell_angle_alpha 90.00
_cell_angle_beta 90.00
_cell_angle_gamma 120.00
loop_
_symmetry_equiv_pos_as_xyz
'x,y,z'
loop_
_atom_site_label
_atom_site_type_symbol
_atom_site_fract_x
_atom_site_fract_y
_atom_site_fract_z
Mg1 Mg 0.000 0.000 0.000
Mg2 Mg 0.333 0.667 0.667
Mg3 Mg 0.667 0.333 0.333
Rh1 Rh 0.000 0.000 0.500
Rh2 Rh 0.333 0.667 0.167
Rh3 Rh 0.667 0.333 0.833
N1 N 0.000 0.000 0.398
N2 N 0.000 0.000 0.602
N3 N 0.333 0.667 0.065
N4 N 0.333 0.667 0.268
N5 N 0.667 0.333 0.732
N6 N 0.667 0.333 0.935
```

Calculated values
E_tot	-71.14	eV/cell
total magnetic moment	0.00	Bohr magnetons per cell
ΔE_f (raw)	45.45	kJ/mol of atoms
SG	R-3m, No. 166

# 7
DFT (GGA-PBE) results for crystalline Mg2RhN at its relaxed geometry.

```
data_Mg2RhN
_symmetry_space_group_name_H-M 'P 1'
_symmetry_Int_Tables_number 1
_cell_length_a 8.217
_cell_length_b 8.217
_cell_length_c 3.898
_cell_angle_alpha 90.00
_cell_angle_beta 90.00
_cell_angle_gamma 90.00
loop_
_symmetry_equiv_pos_as_xyz
'x,y,z'
loop_
_atom_site_label
_atom_site_type_symbol
_atom_site_fract_x
_atom_site_fract_y
_atom_site_fract_z
Mg1 Mg 0.093 0.250 0.125
Mg2 Mg 0.250 0.593 0.375
Mg3 Mg 0.250 0.907 0.875
Mg4 Mg 0.407 0.250 0.625
Mg5 Mg 0.593 0.750 0.625
Mg6 Mg 0.750 0.093 0.875
Mg7 Mg 0.750 0.407 0.375
Mg8 Mg 0.907 0.750 0.125
Rh1 Rh 0.000 0.000 0.500
Rh2 Rh 0.000 0.500 0.750
Rh3 Rh 0.500 0.000 0.250
Rh4 Rh 0.500 0.500 0.000
N1 N 0.000 0.000 0.000
N2 N 0.000 0.500 0.250
N3 N 0.500 0.000 0.750
N4 N 0.500 0.500 0.500
```

Calculated values
E_tot	-77.46	eV/cell
total magnetic moment	0.00	Bohr magnetons per cell
ΔE_f (raw)	-12.06	kJ/mol of atoms
SG	I-42d, No. 122

# 8
DFT (GGA-PBE) results for crystalline MgRuRh2N at its relaxed geometry.

```
data_MgRuRh2N
_symmetry_space_group_name_H-M 'P 1'
_symmetry_Int_Tables_number 1
_cell_length_a 4.116
_cell_length_b 4.116
_cell_length_c 3.980
_cell_angle_alpha 90.00
_cell_angle_beta 90.00
_cell_angle_gamma 90.00
loop_
_symmetry_equiv_pos_as_xyz
'x,y,z'
loop_
_atom_site_label
_atom_site_type_symbol
_atom_site_fract_x
_atom_site_fract_y
_atom_site_fract_z
Mg1 Mg 0.000 0.000 0.000
Ru1 Ru 0.500 0.500 0.000
Rh1 Rh 0.000 0.500 0.500
Rh2 Rh 0.500 0.000 0.500
N1 N 0.500 0.500 0.500
```

Calculated values
E_tot	-34.44	eV/cell
total magnetic moment	0.00	Bohr magnetons per cell
ΔE_f (raw)	-10.46	kJ/mol of atoms
SG	P4/mmm, No. 123

Result set for density: 8.989; 8.002; 4.992; 5.034; 4.976; 4.893; 4.177; 8.500 g cm⁻³, one per record in the order listed.